1.
3
Lattice="-0.2448 0.4198 -4.1665 1.7371 -3.4369 1.6633 -7.0384 -3.5292 0.0579" Properties=species:S:1:pos:R:3 comment="BaAcO | Alexandria via LeMat-Bulk | PBE | relaxed" volume_a3_per_atom=39.996 total_energy_ev_per_atom=-5.275 raw_formation_energy_kj_per_mol_atoms=-156 pbc="T T T"
Ac -2.4429 -3.9161 -0.2510
Ba -0.0005 -0.0002 0.0000
O -3.1027 -2.6301 -2.1943



2.
5
Lattice="4.4788 0.0000 0.0000 0.0000 4.4788 0.0000 -2.2394 -2.2394 8.8291" Properties=species:S:1:pos:R:3 comment="Nd2Sm2Mg | Alexandria via LeMat-Bulk | PBE | relaxed" volume_a3_per_atom=35.421 total_energy_ev_per_atom=-3.749 de_polymorph_mev_per_atom=391 ef_ev_per_atom=0.3649 pbc="T T T"
Nd 0.0000 0.0000 7.2188
Nd 2.2394 2.2394 1.6103
Sm 2.2394 0.0000 4.4146
Sm 0.0000 2.2394 4.4146
Mg 0.0000 0.0000 0.0000